No. 1
12
Lattice="-0.421 -6.582 -2.449 4.513 1.567 5.164 -6.382 0.198 3.924" Properties=species:S:1:pos:R:3 comment="Ho6Ni2Te3S (GGA-PBE, relaxed)" magnetic_moment_mub_per_cell=0.000 formation_energy_uncorrected_ev_per_fu=-13.08 pbc="T T T"
Ho -2.803 -5.046 3.851
Ho -1.188 -2.579 0.164
Ho 0.513 0.230 2.788
Ho -1.102 -2.237 6.476
Ho -3.930 -1.225 3.858
Ho 1.639 -3.591 2.781
S 0.000 0.000 0.000
Ni 1.217 -3.875 0.080
Ni 2.874 -1.139 2.636
Te -2.813 -5.163 0.746
Te -1.145 -2.408 3.320
Te 0.523 0.347 5.894

---

No. 2
18
Lattice="-4.549 2.467 3.458 -1.618 -8.388 5.400 5.511 0.474 8.458" Properties=species:S:1:pos:R:3 comment="Tb2Pm6Er (GGA-PBE, relaxed)" magnetic_moment_mub_per_cell=0.000 ef_ev_per_atom=0.0843 pbc="T T T"
Tb -2.056 -2.070 6.326
Tb 1.623 -1.558 5.199
Tb 1.399 -3.377 10.991
Tb -2.279 -3.889 12.117
Pm 0.317 2.186 9.222
Pm -1.352 -0.647 11.425
Pm -2.531 -5.415 5.296
Pm -1.089 -4.380 8.833
Pm 0.482 -6.618 11.682
Pm 0.432 -1.067 8.483
Pm -1.138 1.171 5.635
Pm 0.696 -4.801 5.892
Pm 1.875 -0.033 12.021
Pm 0.211 -2.894 14.270
Pm -0.867 -2.553 3.046
Pm -0.973 -7.634 8.094
Er -4.326 -5.663 8.296
Er 3.670 0.216 9.021